# 1
HRhSe2 | the Alexandria database | PBE-GGA | relaxed; crystal system = monoclinic; ΔE to the lowest computed polymorph = 367.8 meV per atom; SG = No. 15
1.0
6.209 0.000 0.000
0.000 11.930 0.000
-0.714 0.000 3.834
H Rh Se
4 4 8
direct
0.000 0.073 0.250
0.000 0.927 0.750
0.500 0.427 0.750
0.500 0.573 0.250
0.000 0.309 0.250
0.000 0.691 0.750
0.500 0.191 0.750
0.500 0.809 0.250
0.246 0.142 0.192
0.246 0.858 0.692
0.254 0.358 0.808
0.254 0.642 0.308
0.746 0.358 0.692
0.746 0.642 0.192
0.754 0.142 0.308
0.754 0.858 0.808

---

# 2
HRhSe2 | the Alexandria database | PBE-GGA | relaxed; crystal system = orthorhombic; ΔE to the lowest computed polymorph = 498.3 meV per atom; SG = No. 63
1.0
3.171 0.000 0.000
0.000 16.317 0.000
0.000 0.000 4.927
H Rh Se
4 4 8
direct
0.000 0.130 0.250
0.000 0.870 0.750
0.500 0.370 0.750
0.500 0.630 0.250
0.000 0.443 0.250
0.000 0.557 0.750
0.500 0.057 0.750
0.500 0.943 0.250
0.000 0.292 0.250
0.000 0.408 0.750
0.000 0.592 0.250
0.000 0.708 0.750
0.500 0.092 0.250
0.500 0.208 0.750
0.500 0.792 0.250
0.500 0.908 0.750

---

# 3
H2Rh2Se | the Alexandria database | PBE-GGA | relaxed; crystal system = tetragonal; VASP energy = -4.972 eV/atom; SG = No. 139
1.0
3.145 0.000 0.000
0.000 3.145 0.000
0.000 0.000 10.546
H Rh Se
4 4 2
direct
0.000 0.500 0.250
0.000 0.500 0.750
0.500 0.000 0.250
0.500 0.000 0.750
0.000 0.000 0.149
0.000 0.000 0.851
0.500 0.500 0.351
0.500 0.500 0.649
0.000 0.000 0.500
0.500 0.500 0.000

---

# 4
H12Rh5Se3 | the Alexandria database | PBE-GGA | relaxed; crystal system = cubic; VASP energy = -4.011 eV/atom; SG = No. 230
1.0
-5.671 5.671 5.671
5.671 -5.671 5.671
5.671 5.671 -5.671
H Rh Se
48 20 12
direct
0.004 0.194 0.073
0.004 0.310 0.930
0.070 0.573 0.379
0.070 0.996 0.690
0.073 0.004 0.194
0.073 0.570 0.879
0.121 0.694 0.690
0.121 0.927 0.430
0.190 0.194 0.621
0.190 0.496 0.570
0.194 0.073 0.004
0.194 0.621 0.190
0.306 0.310 0.879
0.306 0.496 0.427
0.310 0.879 0.306
0.310 0.930 0.004
0.379 0.070 0.573
0.379 0.810 0.806
0.427 0.306 0.496
0.427 0.621 0.930
0.430 0.121 0.927
0.430 0.810 0.504
0.496 0.427 0.306
0.496 0.570 0.190
0.504 0.430 0.810
0.504 0.573 0.694
0.570 0.190 0.496
0.570 0.879 0.073
0.573 0.379 0.070
0.573 0.694 0.504
0.621 0.190 0.194
0.621 0.930 0.427
0.690 0.070 0.996
0.690 0.121 0.694
0.694 0.504 0.573
0.694 0.690 0.121
0.806 0.379 0.810
0.806 0.927 0.996
0.810 0.504 0.430
0.810 0.806 0.379
0.879 0.073 0.570
0.879 0.306 0.310
0.927 0.430 0.121
0.927 0.996 0.806
0.930 0.004 0.310
0.930 0.427 0.621
0.996 0.690 0.070
0.996 0.806 0.927
0.000 0.000 0.000
0.000 0.000 0.500
0.000 0.500 0.000
0.000 0.500 0.500
0.125 0.750 0.875
0.125 0.875 0.250
0.250 0.125 0.875
0.250 0.625 0.375
0.375 0.250 0.625
0.375 0.625 0.750
0.500 0.000 0.000
0.500 0.000 0.500
0.500 0.500 0.000
0.500 0.500 0.500
0.625 0.375 0.250
0.625 0.750 0.375
0.750 0.375 0.625
0.750 0.875 0.125
0.875 0.125 0.750
0.875 0.250 0.125
0.125 0.250 0.375
0.125 0.375 0.750
0.250 0.375 0.125
0.250 0.875 0.625
0.375 0.125 0.250
0.375 0.750 0.125
0.625 0.250 0.875
0.625 0.875 0.750
0.750 0.125 0.375
0.750 0.625 0.875
0.875 0.625 0.250
0.875 0.750 0.625

---

# 5
HRhSe2 | the Alexandria database | PBE-GGA | relaxed; crystal system = trigonal; ΔE to the lowest computed polymorph = 817.8 meV per atom; SG = No. 166
1.0
2.954 0.000 0.000
-1.477 2.558 0.000
0.000 0.000 23.197
H Rh Se
3 3 6
direct
0.000 0.000 0.000
0.333 0.667 0.667
0.667 0.333 0.333
0.000 0.000 0.500
0.333 0.667 0.167
0.667 0.333 0.833
0.000 0.000 0.397
0.000 0.000 0.603
0.333 0.667 0.064
0.333 0.667 0.269
0.667 0.333 0.731
0.667 0.333 0.936

---

# 6
HRhSe2 | the Alexandria database | PBE-GGA | relaxed; crystal system = orthorhombic; ΔE to the lowest computed polymorph = 203.5 meV per atom; SG = No. 62
1.0
6.704 0.000 0.000
0.000 3.311 0.000
0.000 0.000 12.829
H Rh Se
4 4 8
direct
0.005 0.250 0.168
0.495 0.750 0.668
0.505 0.250 0.332
0.995 0.750 0.832
0.089 0.250 0.619
0.411 0.750 0.119
0.589 0.250 0.881
0.911 0.750 0.381
0.064 0.750 0.201
0.207 0.750 0.493
0.293 0.250 0.993
0.436 0.250 0.701
0.564 0.750 0.299
0.707 0.750 0.007
0.793 0.250 0.507
0.936 0.250 0.799

---

# 7
HRhSe2 | the Alexandria database | PBE-GGA | relaxed; crystal system = tetragonal; ΔE to the lowest computed polymorph = 645.4 meV per atom; SG = No. 123
1.0
3.607 0.000 0.000
0.000 3.607 0.000
0.000 0.000 4.827
H Rh Se
1 1 2
direct
0.000 0.000 0.000
0.500 0.500 0.500
0.000 0.000 0.500
0.500 0.500 0.000

---

# 8
HRhSe2 | the Alexandria database | PBE-GGA | relaxed; crystal system = triclinic; ΔE to the lowest computed polymorph = 26.1 meV per atom; SG = No. 2
1.0
3.796 0.000 0.000
0.019 6.559 0.000
0.001 2.123 6.304
H Rh Se
2 2 4
direct
0.249 0.434 0.257
0.751 0.566 0.743
0.249 0.003 0.758
0.751 0.997 0.242
0.250 0.186 0.354
0.252 0.798 0.141
0.748 0.202 0.859
0.750 0.814 0.646

---

| no. | total moment (μB/cell) |
| --- | --- |
| 1 | 0.00 |
| 2 | 0.00 |
| 3 | 0.00 |
| 4 | 0.01 |
| 5 | 0.00 |
| 6 | 0.00 |
| 7 | 0.00 |
| 8 | 0.00 |